1.
The following is a PBE-GGA calculation of TiTcIr after structural relaxation, from the Alexandria database.

Unit cell a=4.269 b=5.177 c=5.177 alpha=96.61 beta=65.65 gamma=65.65
Positions (direct):
Ti: 0.000 0.830 0.170
Ti: 0.000 0.170 0.830
Tc: 0.500 0.666 0.334
Tc: 0.500 0.334 0.666
Ir: 0.753 0.747 0.747
Ir: 0.247 0.253 0.253

Properties
DOS(E_F)   0.9051 states/eV/atom
VASP energy   -9.34 eV/atom
Space-group type   No. 71
Total magnetic moment   0.0 μB per cell
Formation energy   -304 meV/atom

***

2.
The following is a PBE-GGA calculation of Ti6Tc5Ir after structural relaxation, from the Alexandria database.

Unit cell a=4.386 b=6.196 c=7.614 alpha=114.01 beta=106.84 gamma=90.00
Positions (direct):
Ir: 0.000 0.000 0.000
Tc: 0.665 0.165 0.331
Tc: 0.333 0.333 0.666
Tc: 0.000 0.500 0.000
Tc: 0.667 0.667 0.334
Tc: 0.335 0.835 0.669
Ti: 0.833 0.581 0.665
Ti: 0.833 0.084 0.665
Ti: 0.500 0.747 0.000
Ti: 0.500 0.253 0.000
Ti: 0.167 0.916 0.335
Ti: 0.167 0.419 0.335

Properties
DOS(E_F)   0.7751 states/eV/atom
VASP energy   -9.62 eV/atom
Space-group type   No. 12
Total magnetic moment   0.0 μB per cell
Formation energy   -618 meV/atom

***

3.
The following is a PBE-GGA calculation of TmTiTcIr after structural relaxation, from the Alexandria database.

Unit cell a=4.574 b=4.574 c=4.574 alpha=60.00 beta=60.00 gamma=60.00
Positions (direct):
Ir: 0.000 0.000 0.000
Tm: 0.750 0.750 0.750
Tc: 0.500 0.500 0.500
Ti: 0.250 0.250 0.250

Properties
DOS(E_F)   0.8179 states/eV/atom
VASP energy   -8.44 eV/atom
Space-group type   No. 216
Total magnetic moment   0.0 μB per cell
Formation energy   -544 meV/atom

***

4.
The following is a PBE-GGA calculation of ZrTiTcIr after structural relaxation, from the Alexandria database.

Unit cell a=4.529 b=4.529 c=4.529 alpha=60.00 beta=60.00 gamma=60.00
Positions (direct):
Ir: 0.750 0.750 0.750
Tc: 0.250 0.250 0.250
Zr: 0.500 0.500 0.500
Ti: 0.000 0.000 0.000

Properties
DOS(E_F)   0.4619 states/eV/atom
VASP energy   -9.63 eV/atom
Space-group type   No. 216
Total magnetic moment   0.0 μB per cell
Formation energy   -709 meV/atom

***

5.
The following is a PBE-GGA calculation of TlTc2Ir after structural relaxation, from the Alexandria database.

Unit cell a=4.856 b=4.856 c=5.039 alpha=79.24 beta=79.24 gamma=34.76
Positions (direct):
Ir: 0.263 0.263 0.230
Tc: 0.001 0.001 0.975
Tc: 0.736 0.736 0.806
Tl: 0.500 0.500 0.489

Properties
Distance to the lowest polymorph of the same formula   0.51 eV per formula unit
DOS(E_F)   1.0945 states/eV/atom
VASP energy   -7.54 eV/atom
Space-group type   No. 8
Total magnetic moment   0.0 μB per cell
Formation energy   454 meV/atom

***

6.
The following is a PBE-GGA calculation of TlTcIr2 after structural relaxation, from the Alexandria database.

Unit cell a=4.912 b=4.912 c=4.912 alpha=131.63 beta=131.63 gamma=70.81
Positions (direct):
Ir: 0.000 0.000 0.000
Ir: 0.250 0.750 0.500
Tc: 0.500 0.500 0.000
Tl: 0.750 0.250 0.500

Properties
Distance to the lowest polymorph of the same formula   1.12 eV per formula unit
DOS(E_F)   1.1728 states/eV/atom
VASP energy   -7.13 eV/atom
Space-group type   No. 119
Total magnetic moment   0.0 μB per cell
Formation energy   485 meV/atom